No. 1
# BaMgIn2

An optimized crystal structure of BaMgIn2 (PBEsol, Alexandria via LeMat-Bulk).

- Calculated volume: 114 Å³ per cell
- VASP energy: -11.1 eV per cell

Structure (CIF):
```
data_BaMgIn2
_cell_length_a 3.7847
_cell_length_b 3.7847
_cell_length_c 7.9764
_cell_angle_alpha 90.00
_cell_angle_beta 90.00
_cell_angle_gamma 90.00
_space_group_name_H-M_alt 'P 4/m m m'
_space_group_IT_number 123
_space_group_name_Hall '-P 4 2'
loop_
_atom_site_label
_atom_site_type_symbol
_atom_site_fract_x
_atom_site_fract_y
_atom_site_fract_z
_atom_site_occupancy
Ba1 Ba 0.0000 0.0000 0.0000 1
Mg1 Mg 0.0000 0.0000 0.5000 1
In1 In 0.5000 0.5000 0.3040 1
```

***

No. 2
# Fe2CoSe4

An optimized crystal structure of Fe2CoSe4 (PBEsol, Alexandria via LeMat-Bulk).

- Formation energy without anion corrections: -0.307 eV per atom
- Calculated volume: 212 Å³ per cell
- VASP energy: -86.4 eV per cell

Structure (CIF):
```
data_Fe2CoSe4
_cell_length_a 11.5280
_cell_length_b 3.4961
_cell_length_c 5.9908
_cell_angle_alpha 90.00
_cell_angle_beta 118.71
_cell_angle_gamma 90.00
_space_group_name_H-M_alt 'C 1 m 1'
_space_group_IT_number 8
_space_group_name_Hall 'C -2y'
loop_
_atom_site_label
_atom_site_type_symbol
_atom_site_fract_x
_atom_site_fract_y
_atom_site_fract_z
_atom_site_occupancy
Fe1 Fe 0.0000 0.0000 0.0000 1
Fe2 Fe 0.2380 0.5000 0.7117 1
Co1 Co 0.2650 0.0000 0.2897 1
Se1 Se 0.1160 0.0000 0.4521 1
Se2 Se 0.1342 0.5000 0.9750 1
Se3 Se 0.3652 0.0000 0.0219 1
Se4 Se 0.3861 0.5000 0.5480 1
```

***

No. 3
# KMg4Se

An optimized crystal structure of KMg4Se (PBEsol, Alexandria via LeMat-Bulk).

- Formation energy without anion corrections: 0.064 eV per atom
- Calculated volume: 638 Å³ per cell
- VASP energy: -45.9 eV per cell

Structure (CIF):
```
data_KMg4Se
_cell_length_a 8.6096
_cell_length_b 8.6096
_cell_length_c 8.6096
_cell_angle_alpha 90.00
_cell_angle_beta 90.00
_cell_angle_gamma 90.00
_space_group_name_H-M_alt 'F -4 3 m'
_space_group_IT_number 216
_space_group_name_Hall 'F -4 2 3'
loop_
_atom_site_label
_atom_site_type_symbol
_atom_site_fract_x
_atom_site_fract_y
_atom_site_fract_z
_atom_site_occupancy
K1 K 0.0000 0.0000 0.0000 1
Mg1 Mg 0.1238 0.1238 0.3762 1
Se1 Se 0.2500 0.2500 0.7500 1
```

***

No. 4
# CdSeCl

An optimized crystal structure of CdSeCl (PBEsol, Alexandria via LeMat-Bulk).

- Formation energy without anion corrections: -0.166 eV per atom
- Calculated volume: 284 Å³ per cell
- VASP energy: -30.2 eV per cell
- Offset from the most stable computed form: 0.0000 eV per atom

Structure (CIF):
```
data_CdSeCl
_cell_length_a 6.5723
_cell_length_b 6.5723
_cell_length_c 6.5723
_cell_angle_alpha 90.00
_cell_angle_beta 90.00
_cell_angle_gamma 90.00
_space_group_name_H-M_alt 'F -4 3 m'
_space_group_IT_number 216
_space_group_name_Hall 'F -4 2 3'
loop_
_atom_site_label
_atom_site_type_symbol
_atom_site_fract_x
_atom_site_fract_y
_atom_site_fract_z
_atom_site_occupancy
Cd1 Cd 0.0000 0.0000 0.0000 1
Se1 Se 0.2500 0.2500 0.7500 1
Cl1 Cl 0.2500 0.2500 0.2500 1
```

***

No. 5
# MnBeAg4

An optimized crystal structure of MnBeAg4 (PBEsol, Alexandria via LeMat-Bulk).

- Calculated volume: 411 Å³ per cell
- VASP energy: -93.7 eV per cell

Structure (CIF):
```
data_MnBeAg4
_cell_length_a 7.4347
_cell_length_b 7.4347
_cell_length_c 7.4347
_cell_angle_alpha 90.00
_cell_angle_beta 90.00
_cell_angle_gamma 90.00
_space_group_name_H-M_alt 'F -4 3 m'
_space_group_IT_number 216
_space_group_name_Hall 'F -4 2 3'
loop_
_atom_site_label
_atom_site_type_symbol
_atom_site_fract_x
_atom_site_fract_y
_atom_site_fract_z
_atom_site_occupancy
Mn1 Mn 0.0000 0.0000 0.0000 1
Be1 Be 0.2500 0.2500 0.2500 1
Ag1 Ag 0.1249 0.1249 0.6249 1
```

***

No. 6
# TaRuPb2

An optimized crystal structure of TaRuPb2 (PBEsol, Alexandria via LeMat-Bulk).

- Calculated volume: 309 Å³ per cell
- VASP energy: -111.2 eV per cell
- Offset from the most stable computed form: 0.0851 eV per atom

Structure (CIF):
```
data_TaRuPb2
_cell_length_a 6.7623
_cell_length_b 6.7623
_cell_length_c 6.7623
_cell_angle_alpha 90.00
_cell_angle_beta 90.00
_cell_angle_gamma 90.00
_space_group_name_H-M_alt 'F m -3 m'
_space_group_IT_number 225
_space_group_name_Hall '-F 4 2 3'
loop_
_atom_site_label
_atom_site_type_symbol
_atom_site_fract_x
_atom_site_fract_y
_atom_site_fract_z
_atom_site_occupancy
Ta1 Ta 0.0000 0.0000 0.0000 1
Ru1 Ru 0.0000 0.0000 0.5000 1
Pb1 Pb 0.2500 0.2500 0.2500 1
```

***

No. 7
# V3CuO8

An optimized crystal structure of V3CuO8 (PBEsol, Alexandria via LeMat-Bulk).

- Formation energy without anion corrections: -1.996 eV per atom
- Calculated volume: 535 Å³ per cell
- VASP energy: -396.7 eV per cell
- Offset from the most stable computed form: 0.0031 eV per atom

Structure (CIF):
```
data_V3CuO8
_cell_length_a 8.1170
_cell_length_b 8.1170
_cell_length_c 8.1170
_cell_angle_alpha 90.00
_cell_angle_beta 90.00
_cell_angle_gamma 90.00
_space_group_name_H-M_alt 'P 21 3'
_space_group_IT_number 198
_space_group_name_Hall 'P 2ac 2ab 3'
loop_
_atom_site_label
_atom_site_type_symbol
_atom_site_fract_x
_atom_site_fract_y
_atom_site_fract_z
_atom_site_occupancy
V1 V 0.1122 0.3710 0.3720 1
Cu1 Cu 0.0008 0.9992 0.4992 1
O1 O 0.0969 0.8652 0.1048 1
O2 O 0.1135 0.3865 0.6135 1
O3 O 0.1144 0.8484 0.6419 1
O4 O 0.1353 0.6353 0.8647 1
```

***

No. 8
# RbPt2Rh

An optimized crystal structure of RbPt2Rh (PBEsol, Alexandria via LeMat-Bulk).

- Calculated volume: 289 Å³ per cell
- VASP energy: -76.2 eV per cell

Structure (CIF):
```
data_RbPt2Rh
_cell_length_a 6.6088
_cell_length_b 6.6088
_cell_length_c 6.6088
_cell_angle_alpha 90.00
_cell_angle_beta 90.00
_cell_angle_gamma 90.00
_space_group_name_H-M_alt 'F m -3 m'
_space_group_IT_number 225
_space_group_name_Hall '-F 4 2 3'
loop_
_atom_site_label
_atom_site_type_symbol
_atom_site_fract_x
_atom_site_fract_y
_atom_site_fract_z
_atom_site_occupancy
Rb1 Rb 0.0000 0.0000 0.0000 1
Pt1 Pt 0.2500 0.2500 0.2500 1
Rh1 Rh 0.0000 0.0000 0.5000 1
```

***

No. 9
# TaTeSe2

An optimized crystal structure of TaTeSe2 (PBEsol, Alexandria via LeMat-Bulk).

- Formation energy without anion corrections: -0.142 eV per atom
- Calculated volume: 190 Å³ per cell
- VASP energy: -48.7 eV per cell

Structure (CIF):
```
data_TaTeSe2
_cell_length_a 11.4556
_cell_length_b 3.4310
_cell_length_c 5.0087
_cell_angle_alpha 90.00
_cell_angle_beta 104.84
_cell_angle_gamma 90.00
_space_group_name_H-M_alt 'C 1 2/m 1'
_space_group_IT_number 12
_space_group_name_Hall '-C 2y'
loop_
_atom_site_label
_atom_site_type_symbol
_atom_site_fract_x
_atom_site_fract_y
_atom_site_fract_z
_atom_site_occupancy
Ta1 Ta 0.0000 0.0000 0.0000 1
Te1 Te 0.0000 0.5000 0.5000 1
Se1 Se 0.1714 0.5000 0.1948 1
```

***

No. 10
# YTiBiIr2

An optimized crystal structure of YTiBiIr2 (PBEsol, Alexandria via LeMat-Bulk).

- Calculated volume: 132 Å³ per cell
- VASP energy: -31.2 eV per cell

Structure (CIF):
```
data_YTiBiIr2
_cell_length_a 4.9317
_cell_length_b 4.9317
_cell_length_c 5.4130
_cell_angle_alpha 90.00
_cell_angle_beta 90.00
_cell_angle_gamma 90.00
_space_group_name_H-M_alt 'P 4/m m m'
_space_group_IT_number 123
_space_group_name_Hall '-P 4 2'
loop_
_atom_site_label
_atom_site_type_symbol
_atom_site_fract_x
_atom_site_fract_y
_atom_site_fract_z
_atom_site_occupancy
Y1 Y 0.0000 0.0000 0.0000 1
Ti1 Ti 0.5000 0.5000 0.0000 1
Bi1 Bi 0.0000 0.0000 0.5000 1
Ir1 Ir 0.0000 0.5000 0.5000 1
```

***

No. 11
# Zn3Co2

An optimized crystal structure of Zn3Co2 (PBEsol, Alexandria via LeMat-Bulk).

- Calculated volume: 66 Å³ per cell
- VASP energy: -19.7 eV per cell

Structure (CIF):
```
data_Zn3Co2
_cell_length_a 3.9737
_cell_length_b 3.9737
_cell_length_c 4.8047
_cell_angle_alpha 90.00
_cell_angle_beta 90.00
_cell_angle_gamma 120.00
_space_group_name_H-M_alt 'P -3 m 1'
_space_group_IT_number 164
_space_group_name_Hall '-P 3 2"'
loop_
_atom_site_label
_atom_site_type_symbol
_atom_site_fract_x
_atom_site_fract_y
_atom_site_fract_z
_atom_site_occupancy
Zn1 Zn 0.0000 0.0000 0.0000 1
Zn2 Zn 0.3333 0.6667 0.3687 1
Co1 Co 0.3333 0.6667 0.8735 1
```

***

No. 12
# CdPt2W

An optimized crystal structure of CdPt2W (PBEsol, Alexandria via LeMat-Bulk).

- Calculated volume: 65 Å³ per cell
- VASP energy: -27.7 eV per cell

Structure (CIF):
```
data_CdPt2W
_cell_length_a 2.7712
_cell_length_b 4.7562
_cell_length_c 4.9002
_cell_angle_alpha 90.00
_cell_angle_beta 90.00
_cell_angle_gamma 90.00
_space_group_name_H-M_alt 'P m m m'
_space_group_IT_number 47
_space_group_name_Hall '-P 2 2'
loop_
_atom_site_label
_atom_site_type_symbol
_atom_site_fract_x
_atom_site_fract_y
_atom_site_fract_z
_atom_site_occupancy
Cd1 Cd 0.0000 0.0000 0.0000 1
Pt1 Pt 0.0000 0.5000 0.5000 1
Pt2 Pt 0.5000 0.5000 0.0000 1
W1 W 0.5000 0.0000 0.5000 1
```